Entry 1:
A plane-wave DFT calculation with GGA-PBE was carried out for In2BiPb after structural relaxation.

Unit cell a=8.2473 b=8.2473 c=8.2473 alpha=130.14 beta=130.14 gamma=73.19
Fractional coordinates of all 8 atoms:
In 0.1243 0.6250 0.9993
In 0.3750 0.3743 0.4993
In 0.6257 0.1250 0.0007
In 0.8750 0.8757 0.5007
Bi 0.2500 0.7500 0.5000
Bi 0.5000 0.5000 0.0000
Pb 0.0000 0.0000 0.0000
Pb 0.7500 0.2500 0.5000

The value obtained for the energy above the most stable polymorph in this dataset is 52 kJ/mol of formula units. Its crystal system is tetragonal. Its space group is I-42d (122).



Entry 2:
A plane-wave DFT calculation with GGA-PBE was carried out for In8BiPb6 after structural relaxation.

Unit cell a=8.4129 b=8.4129 c=8.4129 alpha=63.81 beta=63.81 gamma=63.81
Fractional coordinates of all 15 atoms:
In 0.0732 0.0732 0.0732
In 0.1732 0.2637 0.5840
In 0.2637 0.5840 0.1732
In 0.4160 0.8268 0.7363
In 0.5840 0.1732 0.2637
In 0.7363 0.4160 0.8268
In 0.8268 0.7363 0.4160
In 0.9268 0.9268 0.9268
Bi 0.5000 0.5000 0.5000
Pb 0.0520 0.5940 0.7591
Pb 0.2409 0.9480 0.4060
Pb 0.4060 0.2409 0.9480
Pb 0.5940 0.7591 0.0520
Pb 0.7591 0.0520 0.5940
Pb 0.9480 0.4060 0.2409

Its crystal system is trigonal. Its space group is R-3 (148).



| no. | calculated formation energy (meV per atom) | total energy (eV/atom) |
| --- | --- | --- |
| 1 | 159 | -3.11 |
| 2 | 72 | -3.13 |